DFT (PBE) results for crystalline Cd2TcP at its relaxed geometry.

Unit cell a=3.7145 b=3.7145 c=5.1879 alpha=90.00 beta=90.00 gamma=90.00
Space group P4/mmm (No. 123)
Inequivalent atoms, fractional coordinates:
Cd 0.0000 0.0000 0.2486 x2
Tc 0.5000 0.5000 0.0000 x1
P 0.5000 0.5000 0.5000 x1

Properties
final energy: -3.94 eV per atom